This record from Alexandria describes YTm2Pd2 after structural relaxation. The functional is PBE.

abc: 4.6074 5.3839 10.8566
angles: 110.68 90.00 90.00
Atoms (fractional coordinates):
1 Y 0.2500 0.8013 0.2157
2 Y 0.7500 0.1987 0.7843
3 Tm 0.2500 0.7710 0.8814
4 Tm 0.7500 0.2290 0.1186
5 Tm 0.2500 0.2884 0.5331
6 Tm 0.7500 0.7116 0.4669
7 Pd 0.2500 0.8716 0.6374
8 Pd 0.7500 0.1284 0.3626
9 Pd 0.2500 0.3225 0.9714
10 Pd 0.7500 0.6775 0.0286

Output
* M_tot: 0.000 μB per formula unit
* Fermi-level density of states: 8.5 states/eV/cell
* calculated formation energy: -703 meV/atom
* symmetry: No. 11
* distance to the lowest polymorph of the same formula: 50.0 meV per atom